(1)
# GGA-PBE TePdS2N, optimized geometry
data_TePdS2N
_space_group_name_H-M_alt 'P 4/m m m'
_space_group_IT_number 123
_space_group_name_Hall '-P 4 2'
_cell_length_a 5.088
_cell_length_b 5.088
_cell_length_c 3.866
_cell_angle_alpha 90.00
_cell_angle_beta 90.00
_cell_angle_gamma 90.00
loop_
_atom_site_label
_atom_site_type_symbol
_atom_site_fract_x
_atom_site_fract_y
_atom_site_fract_z
_atom_site_occupancy
Te1 Te 0.000 0.000 0.000 1
Pd1 Pd 0.500 0.500 0.500 1
S1 S 0.000 0.500 0.000 1
N1 N 0.000 0.000 0.500 1
# Uncorrected formation energy = 589 kJ/mol of formula units
# E_tot = -18.8 eV/cell
# DOS at the Fermi energy = 6.93 states/eV/f.u.

=====

(2)
# GGA-PBE TiPdS2N, optimized geometry
data_TiPdS2N
_space_group_name_H-M_alt 'P 4/m m m'
_space_group_IT_number 123
_space_group_name_Hall '-P 4 2'
_cell_length_a 4.780
_cell_length_b 4.780
_cell_length_c 3.746
_cell_angle_alpha 90.00
_cell_angle_beta 90.00
_cell_angle_gamma 90.00
loop_
_atom_site_label
_atom_site_type_symbol
_atom_site_fract_x
_atom_site_fract_y
_atom_site_fract_z
_atom_site_occupancy
Ti1 Ti 0.000 0.000 0.000 1
Pd1 Pd 0.500 0.500 0.500 1
S1 S 0.000 0.500 0.000 1
N1 N 0.000 0.000 0.500 1
# Uncorrected formation energy = 74 kJ/mol of formula units
# E_tot = -28.9 eV/cell
# DOS at the Fermi energy = 6.46 states/eV/f.u.

=====

(3)
# GGA-PBE TiPdSN2, optimized geometry
data_TiPdSN2
_space_group_name_H-M_alt 'P 4/m m m'
_space_group_IT_number 123
_space_group_name_Hall '-P 4 2'
_cell_length_a 3.815
_cell_length_b 3.815
_cell_length_c 5.105
_cell_angle_alpha 90.00
_cell_angle_beta 90.00
_cell_angle_gamma 90.00
loop_
_atom_site_label
_atom_site_type_symbol
_atom_site_fract_x
_atom_site_fract_y
_atom_site_fract_z
_atom_site_occupancy
Ti1 Ti 0.000 0.000 0.000 1
Pd1 Pd 0.500 0.500 0.500 1
S1 S 0.000 0.000 0.500 1
N1 N 0.000 0.500 0.000 1
# Uncorrected formation energy = 212 kJ/mol of formula units
# E_tot = -31.7 eV/cell
# DOS at the Fermi energy = 3.00 states/eV/f.u.

=====

(4)
# GGA-PBE TiPdS2N, optimized geometry
data_TiPdS2N
_space_group_name_H-M_alt 'P 4/m m m'
_space_group_IT_number 123
_space_group_name_Hall '-P 4 2'
_cell_length_a 4.820
_cell_length_b 4.820
_cell_length_c 3.702
_cell_angle_alpha 90.00
_cell_angle_beta 90.00
_cell_angle_gamma 90.00
loop_
_atom_site_label
_atom_site_type_symbol
_atom_site_fract_x
_atom_site_fract_y
_atom_site_fract_z
_atom_site_occupancy
Ti1 Ti 0.000 0.000 0.000 1
Pd1 Pd 0.500 0.500 0.500 1
S1 S 0.000 0.500 0.500 1
N1 N 0.500 0.500 0.000 1
# Uncorrected formation energy = 295 kJ/mol of formula units
# E_tot = -26.6 eV/cell
# DOS at the Fermi energy = 4.66 states/eV/f.u.

=====

(5)
# GGA-PBE TiPdSN2, optimized geometry
data_TiPdSN2
_space_group_name_H-M_alt 'P 4/m m m'
_space_group_IT_number 123
_space_group_name_Hall '-P 4 2'
_cell_length_a 3.926
_cell_length_b 3.926
_cell_length_c 4.738
_cell_angle_alpha 90.00
_cell_angle_beta 90.00
_cell_angle_gamma 90.00
loop_
_atom_site_label
_atom_site_type_symbol
_atom_site_fract_x
_atom_site_fract_y
_atom_site_fract_z
_atom_site_occupancy
Ti1 Ti 0.000 0.000 0.000 1
Pd1 Pd 0.500 0.500 0.500 1
S1 S 0.500 0.500 0.000 1
N1 N 0.000 0.500 0.500 1
# Uncorrected formation energy = 517 kJ/mol of formula units
# E_tot = -28.5 eV/cell
# DOS at the Fermi energy = 4.53 states/eV/f.u.

=====

(6)
# GGA-PBE TlPdSN2, optimized geometry
data_TlPdSN2
_space_group_name_H-M_alt 'P 4/m m m'
_space_group_IT_number 123
_space_group_name_Hall '-P 4 2'
_cell_length_a 4.071
_cell_length_b 4.071
_cell_length_c 5.173
_cell_angle_alpha 90.00
_cell_angle_beta 90.00
_cell_angle_gamma 90.00
loop_
_atom_site_label
_atom_site_type_symbol
_atom_site_fract_x
_atom_site_fract_y
_atom_site_fract_z
_atom_site_occupancy
Tl1 Tl 0.000 0.000 0.000 1
Pd1 Pd 0.500 0.500 0.500 1
S1 S 0.500 0.500 0.000 1
N1 N 0.000 0.500 0.500 1
# Uncorrected formation energy = 596 kJ/mol of formula units
# E_tot = -22.2 eV/cell
# DOS at the Fermi energy = 3.04 states/eV/f.u.

=====

no.,energy above the most stable polymorph in this dataset (kJ/mol of formula units)
1,190
2,0
3,0
4,221
5,306
6,0